A | CsZn2F after structural relaxation, computed with PBE.

a b c (Å): 9.683 9.683 7.382
angles (deg): 49.02 49.02 90.00
Positions (direct):
F: 0.500 0.500 0.000
Zn: 0.375 0.430 0.750
F: 0.250 0.750 0.500
Zn: 0.180 0.625 0.250
Cs: 0.000 0.000 0.000
Zn: 0.570 0.125 0.250
Cs: 0.750 0.250 0.500
Zn: 0.875 0.820 0.750

Properties
DOS(E_F)   0.0010 states/eV per atom
Volume   32.343 A^3/atom
Theoretical density   3.6 Mg/m³

B | CsZn2F after structural relaxation, computed with PBE.

a b c (Å): 5.710 5.710 5.710
angles (deg): 60.00 60.00 60.00
Positions (direct):
F: 0.000 0.000 0.000
Zn: 0.750 0.750 0.750
Cs: 0.500 0.500 0.500
Zn: 0.250 0.250 0.250

Properties
DOS(E_F)   0.0000 states/eV per atom
Volume   32.915 A^3/atom
Theoretical density   3.6 Mg/m³

Tell me which of them is the least stable. Sure, it is B.

A | CsZr2F2 after structural relaxation, computed with PBE.

a b c (Å): 8.637 8.637 3.332
angles (deg): 90.00 90.00 90.00
Last column: magnetic moment on the atom in μB.
Positions (direct):
F: 0.098 0.402 0.000  0.05
Cs: 0.500 0.500 0.000  0.14
Cs: 0.000 0.000 0.000  0.14
Zr: 0.389 0.111 0.500  1.03
F: 0.402 0.902 0.000  0.05
F: 0.598 0.098 0.000  0.05
Zr: 0.889 0.389 0.500  1.04
Zr: 0.111 0.611 0.500  1.04
Zr: 0.611 0.889 0.500  1.03
F: 0.902 0.598 0.000  0.05

Properties
DOS(E_F)   0.7840 states/eV per atom
Volume   24.859 A^3/atom
Theoretical density   4.7 Mg/m³

B | CsZr2F2 after structural relaxation, computed with PBE.

a b c (Å): 3.999 3.999 7.913
angles (deg): 75.37 75.37 90.00
Positions (direct):
Cs: 0.000 0.000 0.000
Zr: 0.750 0.250 0.500
F: 0.361 0.361 0.279
Zr: 0.250 0.750 0.500
F: 0.639 0.639 0.721

Properties
DOS(E_F)   0.4219 states/eV per atom
Volume   23.637 A^3/atom
Theoretical density   5.0 Mg/m³

Tell me which of them is the least stable. Sure, it is A.

A | Cs2ZrF after structural relaxation, computed with PBE.

a b c (Å): 7.680 7.553 7.776
angles (deg): 64.06 70.05 73.07
Last column: magnetic moment on the atom in μB.
Positions (direct):
Cs: 0.121 0.472 0.123  0.01
Cs: 0.194 0.858 0.420  0.01
Cs: 0.588 0.310 0.575  0.02
F: 0.999 0.203 0.546  0.01
F: 0.109 0.442 0.750  0.01
Zr: 0.035 0.162 0.820  0.40
Cs: 0.686 0.691 0.839  0.02
Zr: 0.749 0.061 0.111  0.78

Properties
DOS(E_F)   0.9080 states/eV per atom
Volume   46.982 A^3/atom
Theoretical density   3.3 Mg/m³

B | Cs2ZrF after structural relaxation, computed with PBE.

a b c (Å): 6.138 6.138 6.138
angles (deg): 60.00 60.00 60.00
Last column: magnetic moment on the atom in μB.
Positions (direct):
F: 0.000 0.000 0.000  0.04
Zr: 0.500 0.500 0.500  2.09
Cs: 0.750 0.750 0.750  0.09
Cs: 0.250 0.250 0.250  0.09

Properties
DOS(E_F)   6.5660 states/eV per atom
Volume   40.873 A^3/atom
Theoretical density   3.8 Mg/m³

Tell me which of them is the least stable. Sure, it is B.

A | CsGa3Fe after structural relaxation, computed with PBE.

a b c (Å): 4.852 4.852 4.852
angles (deg): 90.00 90.00 90.00
Positions (direct):
Ga: 0.000 0.500 0.000
Cs: 0.500 0.500 0.500
Ga: 0.500 0.000 0.000
Fe: 0.000 0.000 0.000
Ga: 0.000 0.000 0.500

Properties
DOS(E_F)   0.0437 states/eV per atom
Volume   22.842 A^3/atom
Theoretical density   5.8 Mg/m³

B | CsGa3Fe after structural relaxation, computed with PBE.

a b c (Å): 5.592 5.592 5.592
angles (deg): 90.00 90.00 90.00
Last column: magnetic moment on the atom in μB.
Positions (direct):
Fe: 0.500 0.500 0.500  3.29
Ga: 0.000 0.500 0.000  -0.04
Ga: 0.000 0.000 0.500  -0.02
Ga: 0.500 0.000 0.000  -0.05
Cs: 0.000 0.000 0.000  -0.03

Properties
DOS(E_F)   2.1060 states/eV per atom
Volume   34.982 A^3/atom
Theoretical density   3.8 Mg/m³

Tell me which of them is the least stable. Sure, it is B.

A | CsFe3H after structural relaxation, computed with PBE.

a b c (Å): 4.120 4.120 4.120
angles (deg): 90.00 90.00 90.00
Last column: magnetic moment on the atom in μB.
Positions (direct):
Cs: 0.500 0.500 0.500  0.01
Fe: 0.000 0.500 0.000  2.69
Fe: 0.500 0.000 0.000  2.34
H: 0.000 0.000 0.000  -0.02
Fe: 0.000 0.000 0.500  2.37

Properties
DOS(E_F)   1.4663 states/eV per atom
Volume   13.986 A^3/atom
Theoretical density   7.2 Mg/m³

B | CsFe3H after structural relaxation, computed with PBE.

a b c (Å): 4.921 4.921 4.921
angles (deg): 90.00 90.00 90.00
Last column: magnetic moment on the atom in μB.
Positions (direct):
Fe: 0.500 0.000 0.000  2.64
Fe: 0.000 0.500 0.000  2.66
Cs: 0.000 0.000 0.000  -0.11
Fe: 0.000 0.000 0.500  2.42
H: 0.500 0.500 0.500  0.19

Properties
DOS(E_F)   1.2507 states/eV per atom
Volume   23.840 A^3/atom
Theoretical density   4.2 Mg/m³

Tell me which of them is the least stable. Sure, it is B.

A | CsHf3Fe after structural relaxation, computed with PBE.

a b c (Å): 5.014 5.014 5.014
angles (deg): 90.00 90.00 90.00
Positions (direct):
Hf: 0.500 0.000 0.000
Cs: 0.500 0.500 0.500
Hf: 0.000 0.000 0.500
Hf: 0.000 0.500 0.000
Fe: 0.000 0.000 0.000

Properties
DOS(E_F)   0.8576 states/eV per atom
Volume   25.210 A^3/atom
Theoretical density   9.5 Mg/m³

B | CsHf3Fe after structural relaxation, computed with PBE.

a b c (Å): 5.152 5.152 5.152
angles (deg): 90.00 90.00 90.00
Positions (direct):
Fe: 0.500 0.500 0.500
Hf: 0.500 0.000 0.000
Cs: 0.000 0.000 0.000
Hf: 0.000 0.000 0.500
Hf: 0.000 0.500 0.000

Properties
DOS(E_F)   1.8222 states/eV per atom
Volume   27.348 A^3/atom
Theoretical density   8.8 Mg/m³

Tell me which of them is the least stable. Sure, it is B.